Computed, not measured: Ho2CdP after structural relaxation at the PBE level of DFT.

Results
Total moment in μB per formula unit: 0.00
Final energy in eV per formula unit: -19.01
Symmetry: R-3m

a = 3.864 Å, b = 3.864 Å, c = 23.767 Å
α = 90.00°, β = 90.00°, γ = 120.00°
Positions (direct):
1 Ho 0.000 0.000 0.234
2 Ho 0.000 0.000 0.766
3 Ho 0.333 0.667 0.433
4 Ho 0.333 0.667 0.901
5 Ho 0.667 0.333 0.099
6 Ho 0.667 0.333 0.567
7 Cd 0.000 0.000 0.000
8 Cd 0.333 0.667 0.667
9 Cd 0.667 0.333 0.333
10 P 0.000 0.000 0.500
11 P 0.333 0.667 0.167
12 P 0.667 0.333 0.833


Computed, not measured: Pu3CdRh after structural relaxation at the PBE level of DFT.

Results
Total moment in μB per formula unit: 12.84
Final energy in eV per formula unit: -51.36
Symmetry: Pm-3m

a = 7.100 Å, b = 7.100 Å, c = 7.100 Å
α = 90.00°, β = 90.00°, γ = 90.00°
Positions (direct):
1 Pu 0.000 0.000 0.000
2 Pu 0.274 0.274 0.274
3 Pu 0.274 0.274 0.726
4 Pu 0.274 0.726 0.274
5 Pu 0.274 0.726 0.726
6 Pu 0.726 0.274 0.274
7 Pu 0.726 0.274 0.726
8 Pu 0.726 0.726 0.274
9 Pu 0.726 0.726 0.726
10 Cd 0.000 0.000 0.500
11 Cd 0.000 0.500 0.000
12 Cd 0.500 0.000 0.000
13 Rh 0.000 0.500 0.500
14 Rh 0.500 0.000 0.500
15 Rh 0.500 0.500 0.000


Computed, not measured: CaHoFe4 after structural relaxation at the PBE level of DFT.

Results
Total moment in μB per formula unit: 6.88
Final energy in eV per formula unit: -39.77
Symmetry: F-43m

a = 5.125 Å, b = 5.125 Å, c = 5.125 Å
α = 60.00°, β = 60.00°, γ = 60.00°
Positions (direct):
1 Ca 0.000 0.000 0.000
2 Ho 0.750 0.750 0.750
3 Fe 0.375 0.375 0.375
4 Fe 0.375 0.375 0.874
5 Fe 0.375 0.874 0.375
6 Fe 0.874 0.375 0.375


Computed, not measured: La2Nd3PuSe6 after structural relaxation at the PBE level of DFT.

Results
ΔE_f (raw) in eV/atom: -1.852
Total moment in μB per formula unit: 5.87
Symmetry: C2/m

a = 9.493 Å, b = 9.493 Å, c = 8.517 Å
α = 102.93°, β = 102.93°, γ = 25.77°
Positions (direct):
1 La 0.165 0.165 0.331
2 La 0.835 0.835 0.669
3 Nd 0.168 0.168 0.836
4 Nd 0.500 0.500 0.500
5 Nd 0.832 0.832 0.164
6 Pu 0.500 0.500 0.000
7 Se 0.002 0.002 0.756
8 Se 0.334 0.334 0.413
9 Se 0.336 0.336 0.920
10 Se 0.664 0.664 0.080
11 Se 0.666 0.666 0.587
12 Se 0.998 0.998 0.244


Computed, not measured: KRbTe4 after structural relaxation at the PBE level of DFT.

Results
ΔE_f (raw) in eV/atom: -0.531
Total moment in μB per formula unit: 0.00
Symmetry: Immm
Excess energy over the best structure of this formula in the dataset in meV per atom: 61

a = 5.323 Å, b = 9.088 Å, c = 10.465 Å
α = 90.00°, β = 90.00°, γ = 90.00°
Positions (direct):
1 K 0.000 0.000 0.000
2 K 0.500 0.500 0.500
3 Rb 0.000 0.500 0.000
4 Rb 0.500 0.000 0.500
5 Te 0.000 0.249 0.303
6 Te 0.000 0.249 0.697
7 Te 0.000 0.751 0.303
8 Te 0.000 0.751 0.697
9 Te 0.500 0.251 0.197
10 Te 0.500 0.251 0.803
11 Te 0.500 0.749 0.197
12 Te 0.500 0.749 0.803


Computed, not measured: AcMn2Ge2 after structural relaxation at the PBE level of DFT.

Results
Total moment in μB per formula unit: 6.57
Final energy in eV per formula unit: -33.48
Symmetry: I4/mmm

a = 4.325 Å, b = 4.325 Å, c = 10.939 Å
α = 90.00°, β = 90.00°, γ = 90.00°
Positions (direct):
1 Ac 0.000 0.000 0.000
2 Ac 0.500 0.500 0.500
3 Mn 0.000 0.500 0.250
4 Mn 0.000 0.500 0.750
5 Mn 0.500 0.000 0.250
6 Mn 0.500 0.000 0.750
7 Ge 0.000 0.000 0.369
8 Ge 0.000 0.000 0.631
9 Ge 0.500 0.500 0.131
10 Ge 0.500 0.500 0.869


Computed, not measured: GaHg after structural relaxation at the PBE level of DFT.

Results
Total moment in μB per formula unit: 0.00
Final energy in eV per formula unit: -3.16
Symmetry: I4/mmm

a = 8.813 Å, b = 8.813 Å, c = 4.789 Å
α = 90.00°, β = 90.00°, γ = 90.00°
Positions (direct):
1 Ga 0.162 0.162 0.000
2 Ga 0.162 0.838 0.000
3 Ga 0.338 0.338 0.500
4 Ga 0.338 0.662 0.500
5 Ga 0.662 0.338 0.500
6 Ga 0.662 0.662 0.500
7 Ga 0.838 0.162 0.000
8 Ga 0.838 0.838 0.000
9 Hg 0.000 0.302 0.500
10 Hg 0.000 0.698 0.500
11 Hg 0.198 0.500 0.000
12 Hg 0.302 0.000 0.500
13 Hg 0.500 0.198 0.000
14 Hg 0.500 0.802 0.000
15 Hg 0.698 0.000 0.500
16 Hg 0.802 0.500 0.000


Computed, not measured: BaCdNi2 after structural relaxation at the PBE level of DFT.

Results
Total moment in μB per formula unit: 0.53
Final energy in eV per formula unit: -14.39
Symmetry: R3m

a = 4.267 Å, b = 4.267 Å, c = 18.030 Å
α = 90.00°, β = 90.00°, γ = 120.00°
Positions (direct):
1 Ba 0.000 0.000 0.000
2 Ba 0.333 0.667 0.667
3 Ba 0.667 0.333 0.333
4 Cd 0.000 0.000 0.187
5 Cd 0.333 0.667 0.854
6 Cd 0.667 0.333 0.521
7 Ni 0.000 0.000 0.463
8 Ni 0.000 0.000 0.793
9 Ni 0.333 0.667 0.130
10 Ni 0.333 0.667 0.460
11 Ni 0.667 0.333 0.127
12 Ni 0.667 0.333 0.796


| no. | volume (Å³/f.u.) |
| --- | --- |
| 1 | 102 |
| 2 | 119 |
| 3 | 95 |
| 4 | 325 |
| 5 | 253 |
| 6 | 102 |
| 7 | 46 |
| 8 | 95 |